[1]
The following is a DFT calculation (GGA-PBE) of a relaxed structure of Cs2Pd2Se3.

Unit cell a=7.363 b=7.363 c=7.363 alpha=64.83 beta=64.83 gamma=64.83
Fractional coordinates of all 7 atoms:
Cs 0.000 0.000 0.000
Cs 0.500 0.500 0.500
Pd 0.207 0.207 0.207
Pd 0.793 0.793 0.793
Se 0.500 0.000 0.000
Se 0.000 0.500 0.000
Se 0.000 0.000 0.500

Values from the calculation:
Symmetry: R-3m
Offset from the most stable computed form: 0.00 eV/f.u.

=====

[2]
The following is a DFT calculation (GGA-PBE) of a relaxed structure of NiB.

Unit cell a=3.155 b=3.155 c=3.155 alpha=60.00 beta=60.00 gamma=60.00
Fractional coordinates of all 2 atoms:
B 0.000 0.000 0.000
Ni 0.250 0.250 0.250

Values from the calculation:
Symmetry: F-43m

=====

[3]
The following is a DFT calculation (GGA-PBE) of a relaxed structure of SrPmO3.

Unit cell a=4.389 b=4.389 c=4.682 alpha=90.00 beta=90.00 gamma=90.00
Each line ends with the local moment (μB).
Fractional coordinates of all 5 atoms:
O 0.500 0.500 0.073  0.44
O 0.500 0.000 0.667  0.24
O 0.000 0.500 0.667  0.16
Pm 0.500 0.500 0.552  0.02
Sr 0.000 0.000 0.941  -0.01

Values from the calculation:
Symmetry: P4mm

=====

[4]
The following is a DFT calculation (GGA-PBE) of a relaxed structure of Dy5Co2B6.

Unit cell a=5.399 b=5.399 c=8.337 alpha=108.89 beta=71.11 gamma=120.00
Fractional coordinates of all 13 atoms:
B 0.169 0.169 0.500
B 0.500 0.169 0.500
B 0.169 0.500 0.500
B 0.831 0.500 0.500
B 0.500 0.831 0.500
B 0.831 0.831 0.500
Co 0.880 0.120 0.360
Co 0.120 0.880 0.640
Dy 0.000 0.000 0.000
Dy 0.252 0.748 0.245
Dy 0.584 0.416 0.248
Dy 0.416 0.584 0.752
Dy 0.748 0.252 0.755

Values from the calculation:
Symmetry: R-3m

=====

[5]
The following is a DFT calculation (GGA-PBE) of a relaxed structure of ErMgSc2In2.

Unit cell a=5.084 b=5.084 c=6.317 alpha=90.00 beta=90.00 gamma=120.00
Fractional coordinates of all 6 atoms:
Er 0.000 0.000 0.500
In 0.333 0.667 0.296
In 0.667 0.333 0.704
Mg 0.000 0.000 0.000
Sc 0.667 0.333 0.185
Sc 0.333 0.667 0.815

Values from the calculation:
Symmetry: P-3m1

=====

[6]
The following is a DFT calculation (GGA-PBE) of a relaxed structure of CdInSb.

Unit cell a=5.096 b=5.096 c=5.096 alpha=60.00 beta=60.00 gamma=60.00
Fractional coordinates of all 3 atoms:
Cd 0.500 0.500 0.500
In 0.000 0.000 0.000
Sb 0.250 0.250 0.250

Values from the calculation:
Symmetry: F-43m

=====

[7]
The following is a DFT calculation (GGA-PBE) of a relaxed structure of TmMgZn2Pt4.

Unit cell a=4.689 b=4.689 c=5.972 alpha=90.00 beta=90.00 gamma=90.00
Fractional coordinates of all 8 atoms:
Mg 0.000 0.000 0.000
Pt 0.500 0.000 0.238
Pt 0.000 0.500 0.238
Pt 0.500 0.000 0.762
Pt 0.000 0.500 0.762
Tm 0.500 0.500 0.500
Zn 0.500 0.500 0.000
Zn 0.000 0.000 0.500

Values from the calculation:
Symmetry: P4/mmm

=====

[8]
The following is a DFT calculation (GGA-PBE) of a relaxed structure of Zr4SiSnC2.

Unit cell a=3.352 b=3.352 c=14.178 alpha=90.00 beta=90.00 gamma=120.00
Fractional coordinates of all 8 atoms:
C 0.667 0.333 0.239
C 0.667 0.333 0.761
Si 0.000 0.000 0.000
Sn 0.333 0.667 0.500
Zr 0.333 0.667 0.148
Zr 0.000 0.000 0.328
Zr 0.000 0.000 0.672
Zr 0.333 0.667 0.852

Values from the calculation:
Symmetry: P-6m2

=====

The following energy values (in eV per atom) correspond, in order, to the records above: -3.64, -5.54, -6.79, -6.48, -4.40, -2.55, -4.90, -8.52.